VASP calculation (SCAN) on Li2CaHg at its PBEsol-relaxed geometry.

Lattice parameters (Å, degrees): 3.6277 3.6277 7.0214 90.00 90.00 90.00
Element x y z (fractional)
Ca1 0.5000 0.5000 0.5294
Hg1 0.0000 0.0000 0.7928
Li1 0.5000 0.5000 0.9850
Li2 0.0000 0.0000 0.1928

Properties
- symmetry = P4mm (99)
- density of states at the Fermi level (states/eV/f.u.) = 1.613
- ΔE_f (meV/atom) = -342.1